This record from Alexandria describes AlAgBr2 after structural relaxation. The functional is GGA-PBE.

Formation energy from raw total energies in eV/atom: -0.135
Polymorph energy (0 for the lowest one) in meV per atom: 347
Uncorrected energy in eV for the cell shown: -10.5
Space-group type: Immm, No. 71

Lattice parameters (Å, degrees): 5.6959 5.6961 5.6966 136.47 105.09 90.83
With the nearest neighbours (Å) after each atom.
Sites, in units of the cell vectors:
Br 0.0199 0.0199 0.0000  2 Ag 2.80, 2 Al 3.02
Br 0.4801 0.4801 0.0000  2 Ag 2.80, 2 Al 3.02
Ag 0.2500 0.7500 0.5000  4 Br 2.80
Al 0.7500 0.2500 0.5000  4 Br 3.02